# SmHgPt

A relaxed structure of SmHgPt (PBE, the Alexandria database).

a b c (Å): 6.765 6.765 6.765
angles (deg): 90.00 90.00 90.00
Atoms (fractional coordinates):
Sm  0.000  0.000  0.000
Sm  0.000  0.500  0.500
Sm  0.500  0.000  0.500
Sm  0.500  0.500  0.000
Hg  0.000  0.000  0.500
Hg  0.000  0.500  0.000
Hg  0.500  0.000  0.000
Hg  0.500  0.500  0.500
Pt  0.250  0.250  0.250
Pt  0.250  0.750  0.750
Pt  0.750  0.250  0.750
Pt  0.750  0.750  0.250

Computed properties:
Calculated formation energy in eV per atom: -0.741
SG: F-43m, No. 216